No. 1
A plane-wave DFT calculation with PBE-GGA was carried out for a relaxed Pm6BiP3Se2 crystal.

a b c (Å): 9.504 9.504 8.534
angles (deg): 104.07 104.07 25.54
Fractional coordinates of all 12 atoms:
Pm (0.003, 0.003, 0.230)
Pm (0.326, 0.326, 0.425)
Pm (0.337, 0.337, 0.906)
Pm (0.663, 0.663, 0.094)
Pm (0.674, 0.674, 0.575)
Pm (0.997, 0.997, 0.770)
Bi (0.500, 0.500, 0.500)
P (0.166, 0.166, 0.331)
P (0.500, 0.500, 0.000)
P (0.834, 0.834, 0.669)
Se (0.169, 0.169, 0.836)
Se (0.831, 0.831, 0.164)

Computed properties:
Density ... 6.9 g cm⁻³
Symmetry ... C2/m, No. 12
Uncorrected energy ... -6.220 eV per atom
Crystal system ... monoclinic
N(E_F) ... 4.4 states/eV/f.u.
Formation energy from raw total energies ... -1.59 eV/atom

---

No. 2
A plane-wave DFT calculation with PBE-GGA was carried out for a relaxed PmAl3Cu3 crystal.

a b c (Å): 6.822 6.822 6.822
angles (deg): 62.26 62.26 62.26
Fractional coordinates of all 14 atoms:
Pm (0.130, 0.130, 0.130)
Pm (0.870, 0.870, 0.870)
Al (0.181, 0.181, 0.564)
Al (0.181, 0.564, 0.181)
Al (0.436, 0.819, 0.819)
Al (0.564, 0.181, 0.181)
Al (0.819, 0.436, 0.819)
Al (0.819, 0.819, 0.436)
Cu (0.191, 0.560, 0.560)
Cu (0.440, 0.440, 0.809)
Cu (0.440, 0.809, 0.440)
Cu (0.560, 0.191, 0.560)
Cu (0.560, 0.560, 0.191)
Cu (0.809, 0.440, 0.440)

Computed properties:
Excess energy over the best structure of this formula in the dataset ... 0.000 eV/atom
Density ... 5.9 g cm⁻³
Symmetry ... R-3m, No. 166
Uncorrected energy ... -4.311 eV per atom
Crystal system ... trigonal
N(E_F) ... 3.3 states/eV/f.u.
Formation enthalpy at 0 K ... -0.2728 eV per atom

---

No. 3
A plane-wave DFT calculation with PBE-GGA was carried out for a relaxed TbCoMo crystal.

a b c (Å): 6.260 6.260 6.569
angles (deg): 90.00 90.00 90.00
Fractional coordinates of all 12 atoms:
Tb (0.232, 0.232, 0.000)
Tb (0.268, 0.732, 0.250)
Tb (0.732, 0.268, 0.750)
Tb (0.768, 0.768, 0.500)
Co (0.074, 0.926, 0.750)
Co (0.426, 0.426, 0.500)
Co (0.574, 0.574, 0.000)
Co (0.926, 0.074, 0.250)
Mo (0.164, 0.164, 0.500)
Mo (0.336, 0.664, 0.750)
Mo (0.664, 0.336, 0.250)
Mo (0.836, 0.836, 0.000)

Computed properties:
Density ... 8.1 g cm⁻³
Symmetry ... P4_12_12, No. 92
Uncorrected energy ... -7.073 eV per atom
Crystal system ... tetragonal
N(E_F) ... 3.0 states/eV/f.u.
Formation enthalpy at 0 K ... 0.4499 eV per atom

---

No. 4
A plane-wave DFT calculation with PBE-GGA was carried out for a relaxed TaBeSn crystal.

a b c (Å): 5.222 5.222 5.004
angles (deg): 118.07 118.07 64.38
Fractional coordinates of all 6 atoms:
Ta (0.107, 0.107, 0.357)
Ta (0.893, 0.893, 0.643)
Be (0.440, 0.440, 0.693)
Be (0.560, 0.560, 0.307)
Sn (0.000, 0.500, 0.000)
Sn (0.500, 0.000, 0.000)

Computed properties:
Density ... 10.0 g cm⁻³
Symmetry ... C2/m, No. 12
Uncorrected energy ... -6.054 eV per atom
Crystal system ... monoclinic
N(E_F) ... 1.4 states/eV/f.u.
Formation enthalpy at 0 K ... 0.4730 eV per atom

---

No. 5
A plane-wave DFT calculation with PBE-GGA was carried out for a relaxed Zr4NiOs crystal.

a b c (Å): 5.510 5.510 5.510
angles (deg): 60.00 60.00 60.00
Fractional coordinates of all 6 atoms:
Zr (0.376, 0.376, 0.376)
Zr (0.376, 0.376, 0.872)
Zr (0.376, 0.872, 0.376)
Zr (0.872, 0.376, 0.376)
Ni (0.000, 0.000, 0.000)
Os (0.750, 0.750, 0.750)

Computed properties:
Excess energy over the best structure of this formula in the dataset ... 0.877 eV/atom
Density ... 8.6 g cm⁻³
Symmetry ... F-43m, No. 216
Uncorrected energy ... -7.849 eV per atom
Crystal system ... cubic
N(E_F) ... 12.9 states/eV/f.u.
Formation enthalpy at 0 K ... 0.6845 eV per atom

---

No. 6
A plane-wave DFT calculation with PBE-GGA was carried out for a relaxed HfTiFe2Hg crystal.

a b c (Å): 4.346 4.346 5.056
angles (deg): 90.00 90.00 90.00
Fractional coordinates of all 5 atoms:
Hf (0.000, 0.000, 0.000)
Ti (0.000, 0.000, 0.500)
Fe (0.000, 0.500, 0.500)
Fe (0.500, 0.000, 0.500)
Hg (0.500, 0.500, 0.000)

Computed properties:
Density ... 9.4 g cm⁻³
Symmetry ... P4/mmm, No. 123
Uncorrected energy ... -6.035 eV per atom
Crystal system ... tetragonal
N(E_F) ... 5.0 states/eV/f.u.
Formation enthalpy at 0 K ... 0.9799 eV per atom

---

No. 7
A plane-wave DFT calculation with PBE-GGA was carried out for a relaxed Tl2TcAg crystal.

a b c (Å): 6.862 6.862 6.862
angles (deg): 154.60 139.85 48.11
Fractional coordinates of all 4 atoms:
Tl (0.000, 0.000, 0.000)
Tl (0.713, 0.213, 0.500)
Tc (0.196, 0.696, 0.500)
Ag (0.391, 0.391, 0.000)

Computed properties:
Excess energy over the best structure of this formula in the dataset ... 0.000 eV/atom
Density ... 11.5 g cm⁻³
Symmetry ... Imm2, No. 44
Uncorrected energy ... -3.955 eV per atom
Crystal system ... orthorhombic
N(E_F) ... 2.5 states/eV/f.u.
Formation enthalpy at 0 K ... 0.5322 eV per atom

---

No. 8
A plane-wave DFT calculation with PBE-GGA was carried out for a relaxed Li2InRu crystal.

a b c (Å): 5.261 5.261 4.421
angles (deg): 113.99 113.99 35.40
Fractional coordinates of all 4 atoms:
Li (0.237, 0.237, 0.236)
Li (0.763, 0.763, 0.764)
In (0.000, 0.000, 0.500)
Ru (0.500, 0.500, 0.000)

Computed properties:
Density ... 6.0 g cm⁻³
Symmetry ... C2/m, No. 12
Uncorrected energy ... -3.990 eV per atom
Crystal system ... monoclinic
N(E_F) ... 2.5 states/eV/f.u.
Formation enthalpy at 0 K ... -0.0300 eV per atom

---

No. 9
A plane-wave DFT calculation with PBE-GGA was carried out for a relaxed PmPuMn2 crystal.

a b c (Å): 4.890 4.890 4.890
angles (deg): 60.00 60.00 60.00
Fractional coordinates of all 4 atoms:
Pm (0.000, 0.000, 0.000)
Pu (0.500, 0.500, 0.500)
Mn (0.250, 0.250, 0.250)
Mn (0.750, 0.750, 0.750)

Computed properties:
Excess energy over the best structure of this formula in the dataset ... 0.113 eV/atom
Density ... 10.0 g cm⁻³
Symmetry ... Fm-3m, No. 225
Uncorrected energy ... -9.136 eV per atom
Crystal system ... cubic
N(E_F) ... 8.5 states/eV/f.u.
Formation enthalpy at 0 K ... 0.2191 eV per atom

---

No. 10
A plane-wave DFT calculation with PBE-GGA was carried out for a relaxed UMnGe2 crystal.

a b c (Å): 3.121 3.121 6.963
angles (deg): 90.00 90.00 90.00
Fractional coordinates of all 4 atoms:
U (0.000, 0.000, 0.000)
Mn (0.000, 0.000, 0.500)
Ge (0.500, 0.500, 0.302)
Ge (0.500, 0.500, 0.698)

Computed properties:
Density ... 10.7 g cm⁻³
Symmetry ... P4/mmm, No. 123
Uncorrected energy ... -7.417 eV per atom
Crystal system ... tetragonal
N(E_F) ... 7.0 states/eV/f.u.
Formation enthalpy at 0 K ... 0.0059 eV per atom

---

No. 11
A plane-wave DFT calculation with PBE-GGA was carried out for a relaxed NdAlZn2Ag4 crystal.

a b c (Å): 9.128 9.128 9.128
angles (deg): 28.74 28.74 28.74
Fractional coordinates of all 8 atoms:
Nd (0.000, 0.000, 0.000)
Al (0.500, 0.500, 0.500)
Zn (0.249, 0.249, 0.249)
Zn (0.751, 0.751, 0.751)
Ag (0.133, 0.133, 0.133)
Ag (0.401, 0.401, 0.401)
Ag (0.599, 0.599, 0.599)
Ag (0.867, 0.867, 0.867)

Computed properties:
Density ... 7.8 g cm⁻³
Symmetry ... R-3m, No. 166
Uncorrected energy ... -2.937 eV per atom
Crystal system ... trigonal
N(E_F) ... 3.5 states/eV/f.u.
Formation enthalpy at 0 K ... -0.1286 eV per atom

---

No. 12
A plane-wave DFT calculation with PBE-GGA was carried out for a relaxed CsCdAs2Se crystal.

a b c (Å): 7.275 7.275 5.929
angles (deg): 90.00 90.00 90.00
Fractional coordinates of all 5 atoms:
Cs (0.000, 0.000, 0.000)
Cd (0.500, 0.500, 0.500)
As (0.000, 0.500, 0.000)
As (0.500, 0.000, 0.000)
Se (0.000, 0.000, 0.500)

Computed properties:
Excess energy over the best structure of this formula in the dataset ... 1.037 eV/atom
Density ... 2.5 g cm⁻³
Symmetry ... P4/mmm, No. 123
Uncorrected energy ... -1.632 eV per atom
Crystal system ... tetragonal
N(E_F) ... 4.6 states/eV/f.u.
Formation energy from raw total energies ... 1.28 eV/atom